1.
Density functional theory data (GGA-PBE) for a relaxed structure of Pu2NiCl.

- Energy relative to the elements, uncorrected: -524 meV per atom
- Calculated total energy: -9.5968 eV per atom
- Magnetization: 11.1 μB per cell
- Energy above the most stable polymorph in this dataset: 5 meV/atom
- Space group: No. 166

Unit cell a=3.837 b=3.837 c=7.873 alpha=75.90 beta=75.90 gamma=60.00
Each line ends with the local moment (μB).
Fractional positions:
1 Pu 0.736 0.736 0.791  5.35
2 Ni 0.000 0.000 0.000  -0.21
3 Pu 0.264 0.264 0.209  5.35
4 Cl 0.500 0.500 0.500  -0.03

=====

2.
Density functional theory data (GGA-PBE) for a relaxed structure of TbGdMgCr.

- Energy of formation: 133 meV per atom
- Calculated total energy: -7.3491 eV per atom
- Magnetization: 3.6 μB per cell
- Space group: No. 216

Unit cell a=5.222 b=5.222 c=5.222 alpha=60.00 beta=60.00 gamma=60.00
Each line ends with the local moment (μB).
Fractional positions:
1 Mg 0.000 0.000 0.000  0.02
2 Gd 0.750 0.750 0.750  7.13
3 Tb 0.250 0.250 0.250  0.07
4 Cr 0.500 0.500 0.500  -3.49

=====

3.
Density functional theory data (GGA-PBE) for a relaxed structure of ZnInAuCl.

- Energy relative to the elements, uncorrected: -283 meV per atom
- Calculated total energy: -2.5667 eV per atom
- Magnetization: 0.0 μB per cell
- Energy above the most stable polymorph in this dataset: 118 meV/atom
- Space group: No. 6

Unit cell a=3.730 b=4.976 c=5.469 alpha=90.00 beta=92.25 gamma=90.00
Fractional positions:
1 In 0.556 0.000 0.819
2 Au 0.606 0.000 0.318
3 Cl 0.088 0.500 0.801
4 Zn 0.734 0.500 0.357

=====

4.
Density functional theory data (GGA-PBE) for a relaxed structure of Ta2BeCd.

- Energy of formation: 258 meV per atom
- Calculated total energy: -6.8289 eV per atom
- Magnetization: 0.0 μB per cell
- Energy above the most stable polymorph in this dataset: 144 meV/atom
- Space group: No. 38

Unit cell a=3.901 b=3.046 c=5.882 alpha=74.98 beta=90.00 gamma=90.00
Fractional positions:
1 Ta 0.500 0.299 0.278
2 Cd 0.500 0.569 0.735
3 Be 0.000 0.702 0.471
4 Ta 0.000 0.929 0.015